{
  "formula": "PmErNi2Ge2",
  "functional": "PBE-GGA",
  "state": "relaxed",
  "lattice": [[4.242, 0.000, 0.000], [-2.121, 3.674, 0.000], [0.000, 0.000, 7.210]],
  "species": ["Pm", "Er", "Ni", "Ni", "Ge", "Ge"],
  "frac_coords": [[0.000, 0.000, 0.000], [0.000, 0.000, 0.500], [0.333, 0.667, 0.714], [0.667, 0.333, 0.286], [0.333, 0.667, 0.270], [0.667, 0.333, 0.730]],
  "dos_at_fermi_per_ev_atom": 0.91,
  "rho_g_cm3": 8.5,
  "magmom_total_mub_per_atom": 0.0000,
  "delta_e_f_ev_per_atom": -0.7511
}

---

{
  "formula": "Pm2ErNi3Ge4",
  "functional": "PBE-GGA",
  "state": "relaxed",
  "lattice": [[4.169, 0.000, 0.000], [0.000, 4.169, 0.000], [0.000, 0.000, 10.880]],
  "species": ["Pm", "Pm", "Er", "Ni", "Ni", "Ni", "Ge", "Ge", "Ge", "Ge"],
  "frac_coords": [[0.000, 0.500, 0.223], [0.500, 0.000, 0.777], [0.000, 0.000, 0.500], [0.000, 0.500, 0.889], [0.500, 0.000, 0.111], [0.500, 0.500, 0.500], [0.000, 0.000, 0.000], [0.000, 0.500, 0.671], [0.500, 0.000, 0.329], [0.500, 0.500, 0.000]],
  "dos_at_fermi_per_ev_atom": 0.57,
  "rho_g_cm3": 8.1,
  "magmom_total_mub_per_atom": 0.0000,
  "delta_e_f_ev_per_atom": -0.6668
}

---

{
  "formula": "Er2NiGe3Pt4",
  "functional": "PBE-GGA",
  "state": "relaxed",
  "lattice": [[4.101, 0.000, 0.000], [0.000, 4.101, 0.000], [0.000, 0.000, 10.756]],
  "species": ["Er", "Er", "Ni", "Ge", "Ge", "Ge", "Pt", "Pt", "Pt", "Pt"],
  "frac_coords": [[0.000, 0.500, 0.238], [0.500, 0.000, 0.762], [0.500, 0.500, 0.000], [0.000, 0.000, 0.000], [0.000, 0.500, 0.638], [0.500, 0.000, 0.362], [0.000, 0.000, 0.500], [0.000, 0.500, 0.861], [0.500, 0.000, 0.139], [0.500, 0.500, 0.500]],
  "dos_at_fermi_per_ev_atom": 0.77,
  "rho_g_cm3": 12.8,
  "magmom_total_mub_per_atom": 0.0000,
  "delta_e_f_ev_per_atom": -0.8051
}

---

{
  "formula": "ErPuNi2Ge2",
  "functional": "PBE-GGA",
  "state": "relaxed",
  "lattice": [[4.189, 0.000, 0.000], [-2.095, 3.628, 0.000], [0.000, 0.000, 7.253]],
  "species": ["Er", "Pu", "Ni", "Ni", "Ge", "Ge"],
  "frac_coords": [[0.000, 0.000, 0.000], [0.000, 0.000, 0.500], [0.333, 0.667, 0.236], [0.667, 0.333, 0.764], [0.333, 0.667, 0.754], [0.667, 0.333, 0.246]],
  "dos_at_fermi_per_ev_atom": 2.32,
  "rho_g_cm3": 10.2,
  "magmom_total_mub_per_atom": 0.8129,
  "delta_e_f_ev_per_atom": -0.6046
}

---

{
  "formula": "ErNiGeRh",
  "functional": "PBE-GGA",
  "state": "relaxed",
  "lattice": [[6.355, 0.000, 0.000], [0.000, 6.355, 0.000], [0.000, 0.000, 6.355]],
  "species": ["Er", "Er", "Er", "Er", "Ni", "Ni", "Ni", "Ni", "Ge", "Ge", "Ge", "Ge", "Rh", "Rh", "Rh", "Rh"],
  "frac_coords": [[0.000, 0.000, 0.000], [0.000, 0.500, 0.500], [0.500, 0.000, 0.500], [0.500, 0.500, 0.000], [0.250, 0.250, 0.250], [0.250, 0.750, 0.750], [0.750, 0.250, 0.750], [0.750, 0.750, 0.250], [0.000, 0.000, 0.500], [0.000, 0.500, 0.000], [0.500, 0.000, 0.000], [0.500, 0.500, 0.500], [0.250, 0.250, 0.750], [0.250, 0.750, 0.250], [0.750, 0.250, 0.250], [0.750, 0.750, 0.750]],
  "dos_at_fermi_per_ev_atom": 0.93,
  "relative_energy_mev_per_atom": 0,
  "rho_g_cm3": 10.4,
  "magmom_total_mub_per_atom": 0.0000,
  "delta_e_f_ev_per_atom": -0.5656
}

---

{
  "formula": "ErNiGe2Rh",
  "functional": "PBE-GGA",
  "state": "relaxed",
  "lattice": [[4.062, 0.000, 0.000], [0.000, 4.062, 0.000], [0.000, 0.000, 10.248]],
  "species": ["Er", "Er", "Ni", "Ni", "Ge", "Ge", "Ge", "Ge", "Rh", "Rh"],
  "frac_coords": [[0.000, 0.000, 0.000], [0.500, 0.500, 0.500], [0.000, 0.500, 0.750], [0.500, 0.000, 0.250], [0.000, 0.000, 0.379], [0.000, 0.000, 0.621], [0.500, 0.500, 0.121], [0.500, 0.500, 0.879], [0.000, 0.500, 0.250], [0.500, 0.000, 0.750]],
  "dos_at_fermi_per_ev_atom": 0.86,
  "rho_g_cm3": 9.3,
  "magmom_total_mub_per_atom": 0.0001,
  "delta_e_f_ev_per_atom": -0.7307
}